Record 1
! PBE-GGA GaMoAs, optimized geometry; values from VASP
&SYSTEM
  ibrav = 0, nat = 12, ntyp = 3
/
ATOMIC_SPECIES
Ga 69.72 Ga.upf
Mo 95.94 Mo.upf
As 74.92 As.upf
CELL_PARAMETERS angstrom
6.0873 0.0000 0.0000
0.0000 6.0873 0.0000
0.0000 0.0000 6.0873
ATOMIC_POSITIONS crystal
Ga 0.0000 0.0000 0.0000
Ga 0.0000 0.5000 0.5000
Ga 0.5000 0.0000 0.5000
Ga 0.5000 0.5000 0.0000
Mo 0.2500 0.2500 0.7500
Mo 0.2500 0.7500 0.2500
Mo 0.7500 0.2500 0.2500
Mo 0.7500 0.7500 0.7500
As 0.0000 0.0000 0.5000
As 0.0000 0.5000 0.0000
As 0.5000 0.0000 0.0000
As 0.5000 0.5000 0.5000
! uncorrected energy: -17.44 eV/f.u.
! magnetic moment: 0.031 μB per formula unit
! E above lowest polymorph: 1.59 eV/f.u.

***

Record 2
! PBE-GGA LiPaCo, optimized geometry; values from VASP
&SYSTEM
  ibrav = 0, nat = 12, ntyp = 3
/
ATOMIC_SPECIES
Li 6.94 Li.upf
Pa 231.04 Pa.upf
Co 58.93 Co.upf
CELL_PARAMETERS angstrom
5.7807 0.0000 0.0000
0.0000 5.7807 0.0000
0.0000 0.0000 5.7807
ATOMIC_POSITIONS crystal
Li 0.0000 0.0000 0.0000
Li 0.0000 0.5000 0.5000
Li 0.5000 0.0000 0.5000
Li 0.5000 0.5000 0.0000
Pa 0.2500 0.2500 0.7500
Pa 0.2500 0.7500 0.2500
Pa 0.7500 0.2500 0.2500
Pa 0.7500 0.7500 0.7500
Co 0.2500 0.2500 0.2500
Co 0.2500 0.7500 0.7500
Co 0.7500 0.2500 0.7500
Co 0.7500 0.7500 0.2500
! uncorrected energy: -16.91 eV/f.u.
! magnetic moment: 0.009 μB per formula unit
! E above lowest polymorph: 0.00 eV/f.u.

***

Record 3
! PBE-GGA TmAlPO, optimized geometry; values from VASP
&SYSTEM
  ibrav = 0, nat = 8, ntyp = 4
/
ATOMIC_SPECIES
Tm 168.93 Tm.upf
Al 26.98 Al.upf
P 30.97 P.upf
O 16.00 O.upf
CELL_PARAMETERS angstrom
3.9125 0.0000 0.0000
0.0000 6.5497 0.0000
0.0000 0.0000 5.5149
ATOMIC_POSITIONS crystal
Tm 0.0000 0.1824 0.0000
Tm 0.0000 0.8176 0.5000
Al 0.5000 0.3942 0.6225
Al 0.5000 0.6058 0.1225
P 0.0000 0.2330 0.4918
P 0.0000 0.7670 0.9918
O 0.5000 0.3572 0.9615
O 0.5000 0.6428 0.4615
! uncorrected energy: -25.36 eV/f.u.
! magnetic moment: 0.013 μB per formula unit

***

Record 4
! PBE-GGA Nb3Fe20B6, optimized geometry; values from VASP
&SYSTEM
  ibrav = 0, nat = 29, ntyp = 3
/
ATOMIC_SPECIES
Nb 92.91 Nb.upf
Fe 55.84 Fe.upf
B 10.81 B.upf
CELL_PARAMETERS angstrom
0.0000 5.3574 5.3574
5.3574 0.0000 5.3574
5.3574 5.3574 0.0000
ATOMIC_POSITIONS crystal
Nb 0.0000 0.0000 0.0000
Nb 0.2500 0.2500 0.2500
Nb 0.7500 0.7500 0.7500
Fe 0.0000 0.0000 0.3466
Fe 0.0000 0.0000 0.6534
Fe 0.0000 0.3466 0.0000
Fe 0.0000 0.3466 0.6534
Fe 0.0000 0.6534 0.0000
Fe 0.0000 0.6534 0.3466
Fe 0.1533 0.6156 0.6156
Fe 0.3466 0.0000 0.0000
Fe 0.3466 0.0000 0.6534
Fe 0.3466 0.6534 0.0000
Fe 0.3844 0.3844 0.3844
Fe 0.3844 0.3844 0.8467
Fe 0.3844 0.8467 0.3844
Fe 0.6156 0.1533 0.6156
Fe 0.6156 0.6156 0.1533
Fe 0.6156 0.6156 0.6156
Fe 0.6534 0.0000 0.0000
Fe 0.6534 0.0000 0.3466
Fe 0.6534 0.3466 0.0000
Fe 0.8467 0.3844 0.3844
B 0.2713 0.2713 0.7287
B 0.2713 0.7287 0.2713
B 0.2713 0.7287 0.7287
B 0.7287 0.2713 0.2713
B 0.7287 0.2713 0.7287
B 0.7287 0.7287 0.2713
! uncorrected energy: -244.21 eV/f.u.
! magnetic moment: 33.391 μB per formula unit

***

Record 5
! PBE-GGA Ho3SiSe2, optimized geometry; values from VASP
&SYSTEM
  ibrav = 0, nat = 12, ntyp = 3
/
ATOMIC_SPECIES
Ho 164.93 Ho.upf
Si 28.09 Si.upf
Se 78.96 Se.upf
CELL_PARAMETERS angstrom
4.0908 0.0000 0.0000
0.0000 5.7422 0.0000
0.0000 0.0000 12.2947
ATOMIC_POSITIONS crystal
Ho 0.0000 0.0000 0.0000
Ho 0.0000 0.0000 0.3430
Ho 0.0000 0.0000 0.6570
Ho 0.5000 0.5000 0.1570
Ho 0.5000 0.5000 0.5000
Ho 0.5000 0.5000 0.8430
Si 0.0000 0.5000 0.0000
Si 0.5000 0.0000 0.5000
Se 0.0000 0.5000 0.3307
Se 0.0000 0.5000 0.6693
Se 0.5000 0.0000 0.1693
Se 0.5000 0.0000 0.8307
! uncorrected energy: -35.16 eV/f.u.
! magnetic moment: 0.004 μB per formula unit

***

Record 6
! PBE-GGA RbNaIr, optimized geometry; values from VASP
&SYSTEM
  ibrav = 0, nat = 12, ntyp = 3
/
ATOMIC_SPECIES
Rb 85.47 Rb.upf
Na 22.99 Na.upf
Ir 192.22 Ir.upf
CELL_PARAMETERS angstrom
7.4473 0.0000 0.0000
0.0000 7.4473 0.0000
0.0000 0.0000 7.4473
ATOMIC_POSITIONS crystal
Rb 0.0000 0.0000 0.0000
Rb 0.0000 0.5000 0.5000
Rb 0.5000 0.0000 0.5000
Rb 0.5000 0.5000 0.0000
Na 0.0000 0.0000 0.5000
Na 0.0000 0.5000 0.0000
Na 0.5000 0.0000 0.0000
Na 0.5000 0.5000 0.5000
Ir 0.2500 0.2500 0.7500
Ir 0.2500 0.7500 0.2500
Ir 0.7500 0.2500 0.2500
Ir 0.7500 0.7500 0.7500
! uncorrected energy: -7.91 eV/f.u.
! magnetic moment: 1.001 μB per formula unit
! E above lowest polymorph: 0.00 eV/f.u.